First-principles (PBEsol) data for YIrSe2 after structural relaxation, as listed in Alexandria via LeMat-Bulk.

The structure in CIF format:
```
data_YIrSe2
_cell_length_a 3.427
_cell_length_b 3.731
_cell_length_c 6.229
_cell_angle_alpha 90.00
_cell_angle_beta 90.00
_cell_angle_gamma 90.00
_symmetry_space_group_name_H-M 'P m m m'
_symmetry_Int_Tables_number 47
_symmetry_space_group_name_Hall '-P 2 2'
loop_
_atom_site_label
_atom_site_type_symbol
_atom_site_fract_x
_atom_site_fract_y
_atom_site_fract_z
Y1 Y 0.000 0.000 0.000
Ir1 Ir 0.500 0.000 0.500
Se1 Se 0.500 0.500 0.247
```

* VASP energy: -27.20 eV for the cell shown
* uncorrected formation energy: -713 meV per atom
* crystal system: orthorhombic